A plane-wave DFT calculation with PBE was carried out for a relaxed structure of Pu2MgGa6.

POSCAR file:
```
Pu2MgGa6
1.0
7.9882 0.0000 0.0000
-3.9941 6.9180 0.0000
0.0000 0.0000 3.2159
Pu Mg Ga
2 1 6
Direct
0.3333 0.6667 0.0000 Pu
0.6667 0.3333 0.0000 Pu
0.0000 0.0000 0.0000 Mg
0.0000 0.3277 0.5000 Ga
0.0000 0.6723 0.5000 Ga
0.3277 0.0000 0.5000 Ga
0.3277 0.3277 0.5000 Ga
0.6723 0.0000 0.5000 Ga
0.6723 0.6723 0.5000 Ga
```

Output
theoretical density = 8.70 Mg/m³
formation energy from the elements = -294 meV/atom
total magnetic moment = 1.213 μB per atom